<one>
A relaxed structure of KHf2Cu, computed with PBE.

Summary:
- SG: I-42d, No. 122

a b c (Å): 9.5261 9.5261 9.5261
angles (deg): 145.37 145.37 49.79
Closest atoms and distances in Å follow each position.
Atoms (fractional coordinates):
1 K 0.0000 0.0000 0.0000  8 Hf 3.83-3.84, 4 Cu 4.01
2 K 0.7500 0.2500 0.5000  8 Hf 3.83-3.84, 4 Cu 4.01
3 Hf 0.3736 0.6250 0.2486  2 Cu 2.58, 2 Hf 2.84
4 Hf 0.3750 0.6236 0.7486  2 Cu 2.58, 2 Hf 2.84
5 Hf 0.3764 0.1250 0.7514  2 Cu 2.58, 2 Hf 2.84
6 Hf 0.8750 0.6264 0.2514  2 Cu 2.58, 2 Hf 2.84
7 Cu 0.2500 0.7500 0.5000  4 Hf 2.58
8 Cu 0.5000 0.5000 0.0000  4 Hf 2.58

***

<two>
A relaxed structure of KHf2Cu, computed with PBE.

Summary:
- SG: Fm-3m, No. 225

a b c (Å): 4.9038 4.9038 4.9038
angles (deg): 60.00 60.00 60.00
Closest atoms and distances in Å follow each position.
Atoms (fractional coordinates):
1 K 0.0000 0.0000 0.0000  8 Hf 3.00
2 Hf 0.2500 0.2500 0.2500  4 Cu 3.00, 4 K 3.00
3 Hf 0.7500 0.7500 0.7500  4 Cu 3.00, 4 K 3.00
4 Cu 0.5000 0.5000 0.5000  8 Hf 3.00

***

Q: Which of them is the least stable? A: <one>.

***

<one>
A relaxed structure of KHfCu2, computed with PBE.

Summary:
- SG: Fm-3m, No. 225

a b c (Å): 4.8494 4.8494 4.8494
angles (deg): 60.00 60.00 60.00
Closest atoms and distances in Å follow each position.
Atoms (fractional coordinates):
1 K 0.0000 0.0000 0.0000  8 Cu 2.97
2 Hf 0.5000 0.5000 0.5000  8 Cu 2.97
3 Cu 0.2500 0.2500 0.2500  4 Hf 2.97, 4 K 2.97
4 Cu 0.7500 0.7500 0.7500  4 Hf 2.97, 4 K 2.97

***

<two>
A relaxed structure of KHfCu2, computed with PBE.

Summary:
- SG: I-42d, No. 122

a b c (Å): 6.3778 6.3778 6.3778
angles (deg): 107.63 107.63 113.22
Closest atoms and distances in Å follow each position.
Atoms (fractional coordinates):
1 K 0.0000 0.0000 0.0000  4 Cu 3.06
2 K 0.7500 0.2500 0.5000  4 Cu 3.06
3 Hf 0.2500 0.7500 0.5000  4 Cu 2.57
4 Hf 0.5000 0.5000 0.0000  4 Cu 2.57
5 Cu 0.1738 0.6250 0.0488  2 Hf 2.57
6 Cu 0.3750 0.4238 0.5488  2 Hf 2.57
7 Cu 0.5762 0.1250 0.9512  2 Hf 2.57
8 Cu 0.8750 0.8262 0.4512  2 Hf 2.57

***

Q: Which of them is the least stable? A: <two>.

***

<one>
A relaxed structure of K3HfCu, computed with PBE.

Summary:
- SG: Pm-3m, No. 221

a b c (Å): 6.7177 6.7177 6.7177
angles (deg): 90.00 90.00 90.00
Closest atoms and distances in Å follow each position.
Atoms (fractional coordinates):
1 K 0.0000 0.0000 0.5000  2 Hf 3.36
2 K 0.0000 0.5000 0.0000  2 Hf 3.36
3 K 0.5000 0.0000 0.0000  2 Hf 3.36
4 Hf 0.0000 0.0000 0.0000  6 K 3.36
5 Cu 0.5000 0.5000 0.5000  12 K 4.75

***

<two>
A relaxed structure of K3HfCu, computed with PBE.

Summary:
- SG: Pm-3m, No. 221

a b c (Å): 6.1895 6.1895 6.1895
angles (deg): 90.00 90.00 90.00
Closest atoms and distances in Å follow each position.
Atoms (fractional coordinates):
1 K 0.0000 0.0000 0.5000  2 Cu 3.09
2 K 0.0000 0.5000 0.0000  2 Cu 3.09
3 K 0.5000 0.0000 0.0000  2 Cu 3.09
4 Hf 0.5000 0.5000 0.5000  12 K 4.38
5 Cu 0.0000 0.0000 0.0000  6 K 3.09

***

Q: Which of them is the least stable? A: <one>.